Entry 1:
SmPaMnS4 | GGA-PBE | optimized geometry

Unit cell a=6.4452 b=6.0951 c=7.6495 alpha=90.00 beta=106.57 gamma=90.00
Closest atoms and distances in Å follow each position.
Positions (direct):
S 0.4406 0.7500 0.6121  1 Mn 2.25
S 0.9817 0.0112 0.2540  1 Mn 2.27
S 0.4386 0.7500 0.1156  1 Mn 2.26
S 0.9817 0.4888 0.2540  1 Mn 2.27
S 0.5594 0.2500 0.3879  1 Mn 2.25
S 0.5614 0.2500 0.8844  1 Mn 2.26
S 0.0183 0.5112 0.7460  1 Mn 2.27
S 0.0183 0.9888 0.7460  1 Mn 2.27
Pa 0.2383 0.2500 0.5568  6 S 2.73-2.83
Pa 0.7617 0.7500 0.4432  6 S 2.73-2.83
Sm 0.2426 0.2500 0.0595  6 S 2.75-2.93
Sm 0.7574 0.7500 0.9405  6 S 2.75-2.93
Mn 0.2431 0.7500 0.3177  4 S 2.25-2.27
Mn 0.7569 0.2500 0.6823  4 S 2.25-2.27

Values from the calculation:
The space group is P2_1/m. The electronic total energy is -7.099 eV per atom. The calculation puts the raw formation energy at -32.28 kcal/mol of atoms. The volume is 288.02 Å³/cell.

=====

Entry 2:
PaMnSnS4 | GGA-PBE | optimized geometry

Unit cell a=6.5159 b=6.1961 c=8.2135 alpha=90.00 beta=108.83 gamma=90.00
Closest atoms and distances in Å follow each position.
Positions (direct):
Sn 0.6944 0.7500 0.9370  2 S 2.70
Sn 0.3056 0.2500 0.0630  2 S 2.70
S 0.0279 0.5123 0.7184  1 Mn 2.28
S 0.4513 0.7500 0.6008  1 Mn 2.30
S 0.0279 0.9877 0.7184  1 Mn 2.28
S 0.5680 0.2500 0.8666  1 Mn 2.33
S 0.9721 0.4877 0.2816  1 Mn 2.28
S 0.9721 0.0123 0.2816  1 Mn 2.28
S 0.5487 0.2500 0.3992  1 Mn 2.30
S 0.4320 0.7500 0.1334  1 Mn 2.33
Mn 0.2276 0.7500 0.3192  4 S 2.28-2.33
Mn 0.7724 0.2500 0.6808  4 S 2.28-2.33
Pa 0.2332 0.2500 0.5524  6 S 2.73-2.79
Pa 0.7668 0.7500 0.4476  6 S 2.73-2.79

Values from the calculation:
The space group is P2_1/m. The electronic total energy is -6.478 eV per atom. The calculation puts the raw formation energy at -20.31 kcal/mol of atoms. The volume is 313.85 Å³/cell.

=====

Entry 3:
PaMn4SnS8 | GGA-PBE | optimized geometry

Unit cell a=7.5138 b=7.5138 c=7.5841 alpha=60.31 beta=60.31 gamma=60.00
Closest atoms and distances in Å follow each position.
Positions (direct):
Mn 0.9943 0.9943 0.4999  6 S 2.50-2.60
Mn 0.5114 0.9943 0.4999  6 S 2.50-2.60
Mn 0.9943 0.5114 0.4999  6 S 2.50-2.60
Mn 0.6338 0.6338 0.0987  4 S 2.36-2.41
Pa 0.9978 0.9978 0.0066  6 S 2.65-2.69
S 0.7499 0.7499 0.2577  3 Mn 2.41-2.60, 1 Pa 2.65
S 0.2272 0.2272 0.3185  3 Mn 2.51, 1 Sn 2.54
S 0.2484 0.7788 0.7244  2 Mn 2.56, 1 Sn 2.57, 1 Pa 2.69
S 0.7499 0.2425 0.2577  3 Mn 2.41-2.60, 1 Pa 2.65
S 0.2425 0.7499 0.2577  3 Mn 2.41-2.60, 1 Pa 2.65
S 0.7600 0.7600 0.7201  4 Mn 2.36-2.50
S 0.2484 0.2484 0.7244  2 Mn 2.56, 1 Sn 2.57, 1 Pa 2.69
S 0.7788 0.2484 0.7244  2 Mn 2.56, 1 Sn 2.57, 1 Pa 2.69
Sn 0.3634 0.3634 0.9098  4 S 2.54-2.57

Values from the calculation:
The space group is R3m. The electronic total energy is -6.696 eV per atom. The calculation puts the raw formation energy at -17.37 kcal/mol of atoms. The volume is 304.16 Å³/cell.

=====

Entry 4:
SrPaMn2S8 | GGA-PBE | optimized geometry

Unit cell a=6.2783 b=6.2783 c=8.2321 alpha=112.42 beta=112.42 gamma=90.00
Closest atoms and distances in Å follow each position.
Positions (direct):
S 0.6055 0.7245 0.6567  1 Mn 2.15
S 0.4146 0.2672 0.1206  1 Mn 2.22
S 0.7060 0.8535 0.1206  1 Mn 2.22
S 0.2755 0.9488 0.3433  1 Mn 2.15
S 0.7328 0.2940 0.8794  1 Mn 2.22
S 0.1465 0.5854 0.8794  1 Mn 2.22
S 0.0678 0.3945 0.3433  1 Mn 2.15
S 0.0512 0.9322 0.6567  1 Mn 2.15
Sr 0.7500 0.2500 0.5000  8 S 3.05-3.07
Mn 0.5000 0.5000 0.0000  4 S 2.22
Mn 0.2500 0.7500 0.5000  4 S 2.15
Pa 0.0000 0.0000 0.0000  8 S 2.71-2.84

Values from the calculation:
The space group is I-4. The electronic total energy is -6.017 eV per atom. The calculation puts the raw formation energy at -18.57 kcal/mol of atoms. The volume is 273.26 Å³/cell.

=====

Entry 5:
SrPa2MnS8 | GGA-PBE | optimized geometry

Unit cell a=6.3431 b=6.0867 c=8.2083 alpha=90.01 beta=90.00 gamma=84.79
Closest atoms and distances in Å follow each position.
Positions (direct):
S 0.3523 0.2929 0.5000  2 Pa 2.66
S 0.3449 0.2767 0.9999  2 Pa 2.66, 1 Mn 2.88
S 0.8350 0.2235 0.1999  1 Mn 2.32
S 0.8349 0.2234 0.8001  1 Mn 2.32
S 0.1650 0.7765 0.8001  1 Mn 2.32
S 0.6477 0.7071 0.5000  2 Pa 2.66
S 0.1651 0.7766 0.1999  1 Mn 2.32
S 0.6551 0.7233 0.0001  2 Pa 2.66, 1 Mn 2.88
Pa 0.5000 0.5000 0.2443  6 S 2.61-2.66
Pa 0.5000 0.5000 0.7557  6 S 2.61-2.66
Mn 0.0000 0.0000 0.0000  4 S 2.32
Sr 0.0000 0.0000 0.5000  6 S 2.96-2.98

Values from the calculation:
The space group is P2/m. The electronic total energy is -6.457 eV per atom. The calculation puts the raw formation energy at -28.09 kcal/mol of atoms. The volume is 315.60 Å³/cell.

=====

Entry 6:
PaTaMn2S8 | GGA-PBE | optimized geometry

Unit cell a=7.0318 b=7.0318 c=7.0318 alpha=107.44 beta=107.44 gamma=113.61
Closest atoms and distances in Å follow each position.
Positions (direct):
S 0.9721 0.6466 0.6745  1 Mn 2.24
S 0.7024 0.0279 0.6745  1 Mn 2.24
S 0.5046 0.7007 0.8040  1 Mn 2.25
S 0.2993 0.4954 0.1960  1 Mn 2.25
S 0.8967 0.7007 0.1960  1 Mn 2.25
S 0.2993 0.1033 0.8040  1 Mn 2.25
S 0.9721 0.2976 0.3255  1 Mn 2.24
S 0.3534 0.0279 0.3255  1 Mn 2.24
Mn 0.7500 0.2500 0.5000  4 S 2.24
Mn 0.5000 0.5000 0.0000  4 S 2.25
Pa 0.0000 0.0000 0.0000  8 S 2.72-2.82
Ta 0.2500 0.7500 0.5000  8 S 2.56-2.59

Values from the calculation:
The space group is I-4m2. The electronic total energy is -6.809 eV per atom. The calculation puts the raw formation energy at -17.30 kcal/mol of atoms. The volume is 266.60 Å³/cell.

=====

Entry 7:
TbPaMnS6 | GGA-PBE | optimized geometry

Unit cell a=5.8845 b=6.3784 c=6.3784 alpha=120.00 beta=90.00 gamma=90.00
Closest atoms and distances in Å follow each position.
Positions (direct):
S 0.2602 0.2917 0.3074  1 Mn 2.38, 1 Pa 2.66
S 0.2602 0.6926 0.9843  1 Mn 2.38, 1 Pa 2.66
S 0.7398 0.6926 0.7083  1 Mn 2.38, 1 Pa 2.66
S 0.7398 0.2917 0.9843  1 Mn 2.38, 1 Pa 2.66
S 0.7398 0.0157 0.3074  1 Mn 2.38, 1 Pa 2.66
S 0.2602 0.0157 0.7083  1 Mn 2.38, 1 Pa 2.66
Pa 0.0000 0.3333 0.6667  6 S 2.66
Tb 0.5000 0.6667 0.3333  6 S 2.71
Mn 0.5000 0.0000 0.0000  6 S 2.38

Values from the calculation:
The space group is P312. The electronic total energy is -6.489 eV per atom. The calculation puts the raw formation energy at -26.50 kcal/mol of atoms. The volume is 207.33 Å³/cell.

=====

Entry 8:
TbPaMn2S8 | GGA-PBE | optimized geometry

Unit cell a=6.2961 b=6.2961 c=7.8805 alpha=113.55 beta=113.55 gamma=90.00
Closest atoms and distances in Å follow each position.
Positions (direct):
S 0.0486 0.9740 0.6533  1 Mn 2.22
S 0.7357 0.8523 0.1467  1 Mn 2.24
S 0.6048 0.6794 0.6533  1 Mn 2.22
S 0.0260 0.3952 0.3467  1 Mn 2.22
S 0.3206 0.9514 0.3467  1 Mn 2.22
S 0.7056 0.2643 0.8533  1 Mn 2.24
S 0.1477 0.5890 0.8533  1 Mn 2.24
S 0.4110 0.2944 0.1467  1 Mn 2.24
Pa 0.0000 0.0000 0.0000  8 S 2.71-2.81
Tb 0.7500 0.2500 0.5000  8 S 2.81-2.87
Mn 0.2500 0.7500 0.5000  4 S 2.22
Mn 0.5000 0.5000 0.0000  4 S 2.24

Values from the calculation:
The space group is I-4. The electronic total energy is -6.364 eV per atom. The calculation puts the raw formation energy at -20.91 kcal/mol of atoms. The volume is 257.77 Å³/cell.

=====

Entry 9:
TbPaMnS4 | GGA-PBE | optimized geometry

Unit cell a=6.4048 b=6.1262 c=7.5443 alpha=90.00 beta=106.48 gamma=90.00
Closest atoms and distances in Å follow each position.
Positions (direct):
S 0.9827 0.4892 0.2491  1 Mn 2.27
S 0.9827 0.0108 0.2491  1 Mn 2.27
S 0.4440 0.7500 0.6162  1 Mn 2.25
S 0.4435 0.7500 0.1126  1 Mn 2.25
S 0.5560 0.2500 0.3838  1 Mn 2.25
S 0.5565 0.2500 0.8874  1 Mn 2.25
S 0.0173 0.5108 0.7509  1 Mn 2.27
S 0.0173 0.9892 0.7509  1 Mn 2.27
Pa 0.2350 0.2500 0.5565  6 S 2.73-2.83
Pa 0.7650 0.7500 0.4435  6 S 2.73-2.83
Mn 0.2461 0.7500 0.3171  4 S 2.25-2.27
Mn 0.7539 0.2500 0.6829  4 S 2.25-2.27
Tb 0.2386 0.2500 0.0586  6 S 2.70-2.87
Tb 0.7614 0.7500 0.9414  6 S 2.70-2.87

Values from the calculation:
The space group is P2_1/m. The electronic total energy is -7.075 eV per atom. The calculation puts the raw formation energy at -32.02 kcal/mol of atoms. The volume is 283.85 Å³/cell.

=====

Entry 10:
Tb2PaMnS6 | GGA-PBE | optimized geometry

Unit cell a=5.7051 b=6.7149 c=6.7149 alpha=90.00 beta=90.00 gamma=90.00
Closest atoms and distances in Å follow each position.
Positions (direct):
S 0.6991 0.2371 0.2371  1 Mn 2.35, 1 Pa 2.55
S 0.6991 0.7629 0.7629  1 Mn 2.35, 1 Pa 2.55
S 0.6991 0.7629 0.2371  1 Mn 2.35, 1 Pa 2.55
S 0.2004 0.0000 0.0000  1 Mn 2.19
S 0.1363 0.5000 0.5000  1 Pa 2.69
S 0.6991 0.2371 0.7629  1 Mn 2.35, 1 Pa 2.55
Mn 0.8160 0.0000 0.0000  5 S 2.19-2.35
Tb 0.9454 0.0000 0.5000  4 S 2.76
Tb 0.9454 0.5000 0.0000  4 S 2.76
Pa 0.6070 0.5000 0.5000  5 S 2.55-2.69

Values from the calculation:
The space group is P4mm. The electronic total energy is -6.533 eV per atom. The calculation puts the raw formation energy at -29.14 kcal/mol of atoms. The volume is 257.24 Å³/cell.

=====

Repeat the third record exactly.
PaMn4SnS8 | GGA-PBE | optimized geometry

Unit cell a=7.5138 b=7.5138 c=7.5841 alpha=60.31 beta=60.31 gamma=60.00
Closest atoms and distances in Å follow each position.
Positions (direct):
Mn 0.9943 0.9943 0.4999  6 S 2.50-2.60
Mn 0.5114 0.9943 0.4999  6 S 2.50-2.60
Mn 0.9943 0.5114 0.4999  6 S 2.50-2.60
Mn 0.6338 0.6338 0.0987  4 S 2.36-2.41
Pa 0.9978 0.9978 0.0066  6 S 2.65-2.69
S 0.7499 0.7499 0.2577  3 Mn 2.41-2.60, 1 Pa 2.65
S 0.2272 0.2272 0.3185  3 Mn 2.51, 1 Sn 2.54
S 0.2484 0.7788 0.7244  2 Mn 2.56, 1 Sn 2.57, 1 Pa 2.69
S 0.7499 0.2425 0.2577  3 Mn 2.41-2.60, 1 Pa 2.65
S 0.2425 0.7499 0.2577  3 Mn 2.41-2.60, 1 Pa 2.65
S 0.7600 0.7600 0.7201  4 Mn 2.36-2.50
S 0.2484 0.2484 0.7244  2 Mn 2.56, 1 Sn 2.57, 1 Pa 2.69
S 0.7788 0.2484 0.7244  2 Mn 2.56, 1 Sn 2.57, 1 Pa 2.69
Sn 0.3634 0.3634 0.9098  4 S 2.54-2.57

Values from the calculation:
The space group is R3m. The electronic total energy is -6.696 eV per atom. The calculation puts the raw formation energy at -17.37 kcal/mol of atoms. The volume is 304.16 Å³/cell.

=====

Question: Look up the volume of the seventh one.
Answer: 207.33 Å³/cell

=====

Question: Number 5 is which compound?
Answer: SrPa2MnS8